one:
Co2OF3 | PBE with a Hubbard U | relaxed

a = 4.6961 Å, b = 4.6961 Å, c = 12.1743 Å
α = 90.00°, β = 90.00°, γ = 93.10°
Last column: nearest neighbours and their distance in Å.
Positions (direct):
1 O 0.3323 0.3323 0.3744  3 Co 1.87-1.91
2 O 0.6677 0.6677 0.6256  3 Co 1.87-1.91
3 O 0.3323 0.3323 0.1256  3 Co 1.87-1.91
4 O 0.6677 0.6677 0.8744  3 Co 1.87-1.91
5 F 0.2814 0.2814 0.8722  3 Co 2.00-2.10
6 F 0.2269 0.8321 0.2500  3 Co 2.03-2.07
7 F 0.7186 0.7186 0.1278  3 Co 2.00-2.10
8 F 0.8321 0.2269 0.2500  3 Co 2.03-2.07
9 F 0.1679 0.7731 0.7500  3 Co 2.03-2.07
10 F 0.7986 0.2014 0.0000  3 Co 2.04-2.06
11 F 0.2814 0.2814 0.6278  3 Co 2.00-2.10
12 F 0.7731 0.1679 0.7500  3 Co 2.03-2.07
13 F 0.7986 0.2014 0.5000  3 Co 2.04-2.06
14 F 0.2014 0.7986 0.0000  3 Co 2.04-2.06
15 F 0.2014 0.7986 0.5000  3 Co 2.04-2.06
16 F 0.7186 0.7186 0.3722  3 Co 2.00-2.10
17 Co 0.4883 0.4883 0.7500  2 O 1.91, 4 F 2.00-2.07
18 Co 0.5117 0.5117 0.2500  2 O 1.91, 4 F 2.00-2.07
19 Co 0.5000 0.5000 0.0000  2 O 1.87, 2 F 2.04
20 Co 0.9619 0.9619 0.6248  1 O 1.90, 5 F 2.03-2.06
21 Co 0.9619 0.9619 0.8752  1 O 1.90, 5 F 2.03-2.06
22 Co 0.5000 0.5000 0.5000  2 O 1.87, 2 F 2.04
23 Co 0.0381 0.0381 0.3752  1 O 1.90, 5 F 2.03-2.06
24 Co 0.0381 0.0381 0.1248  1 O 1.90, 5 F 2.03-2.06

M_tot = 19.8 μB/cell
Crystal system = orthorhombic
Symmetry = Cmcm

---

two:
Co2OF3 | PBE with a Hubbard U | relaxed

a = 4.6674 Å, b = 4.6674 Å, c = 6.1204 Å
α = 90.00°, β = 90.00°, γ = 92.61°
Last column: nearest neighbours and their distance in Å.
Positions (direct):
1 Co 0.5000 0.5000 0.2500  2 O 1.88, 4 F 2.01-2.07
2 Co 0.0335 0.0335 0.5000  1 O 1.91, 5 F 2.05-2.06
3 Co 0.5000 0.5000 0.7500  2 O 1.88, 4 F 2.01-2.07
4 Co 0.9666 0.9665 0.0000  1 O 1.91, 5 F 2.05-2.06
5 F 0.2022 0.7978 0.2500  3 Co 2.01-2.06
6 F 0.7978 0.2022 0.2500  3 Co 2.01-2.06
7 F 0.2843 0.2844 0.0000  3 Co 2.05-2.07
8 F 0.2022 0.7978 0.7500  3 Co 2.01-2.06
9 F 0.7978 0.2022 0.7500  3 Co 2.01-2.06
10 F 0.7156 0.7156 0.5000  3 Co 2.05-2.07
11 O 0.3301 0.3301 0.5000  3 Co 1.88-1.91
12 O 0.6699 0.6699 0.0000  3 Co 1.88-1.91

M_tot = 10.1 μB/cell
Crystal system = orthorhombic
Symmetry = Cmcm

---

three:
Co2OF3 | PBE with a Hubbard U | relaxed

a = 7.0531 Å, b = 7.0531 Å, c = 6.7562 Å
α = 90.00°, β = 90.00°, γ = 127.18°
Last column: nearest neighbours and their distance in Å.
Positions (direct):
1 F 0.9717 0.0283 0.7500  3 Co 1.94-1.99
2 F 0.8739 0.6242 0.9464  3 Co 2.05-2.06
3 F 0.0283 0.9717 0.2500  3 Co 1.94-1.99
4 F 0.2789 0.7211 0.7500  3 Co 1.94-1.98
5 F 0.1261 0.3758 0.4464  3 Co 2.05-2.06
6 F 0.1261 0.3758 0.0536  3 Co 2.05-2.06
7 F 0.8739 0.6242 0.5536  3 Co 2.05-2.06
8 F 0.6242 0.8739 0.0536  3 Co 2.05-2.06
9 F 0.3758 0.1261 0.9464  3 Co 2.05-2.06
10 F 0.6242 0.8739 0.4464  3 Co 2.05-2.06
11 F 0.7211 0.2789 0.2500  3 Co 1.94-1.98
12 F 0.3758 0.1261 0.5536  3 Co 2.05-2.06
13 O 0.7742 0.2258 0.7500  3 Co 1.89-2.02
14 O 0.4754 0.5246 0.7500  3 Co 1.88-2.01
15 O 0.2258 0.7742 0.2500  3 Co 1.89-2.02
16 O 0.5246 0.4754 0.2500  3 Co 1.88-2.01
17 Co 0.6246 0.3754 0.7500  2 O 1.88-1.89, 4 F 2.05
18 Co 0.8743 0.1257 0.2500  6 F 1.94-2.06
19 Co 0.6246 0.8744 0.7500  4 F 1.98-2.05, 2 O 2.01-2.02
20 Co 0.1257 0.8743 0.7500  6 F 1.94-2.06
21 Co 0.1256 0.3754 0.7500  4 F 1.98-2.05, 2 O 2.01-2.02
22 Co 0.8744 0.6246 0.2500  4 F 1.98-2.05, 2 O 2.01-2.02
23 Co 0.3754 0.1256 0.2500  4 F 1.98-2.05, 2 O 2.01-2.02
24 Co 0.3754 0.6246 0.2500  2 O 1.88-1.89, 4 F 2.05

M_tot = 20.8 μB/cell
Crystal system = orthorhombic
Symmetry = Cmcm

---

four:
Co2OF3 | PBE with a Hubbard U | relaxed

a = 4.6650 Å, b = 5.6210 Å, c = 13.2106 Å
α = 78.75°, β = 89.34°, γ = 89.45°
Last column: nearest neighbours and their distance in Å.
Positions (direct):
1 O 0.2053 0.3208 0.9404  1 Co 1.76
2 O 0.6939 0.3750 0.4604  2 Co 1.80-2.00
3 O 0.8063 0.6877 0.0558  3 Co 1.91-1.95
4 O 0.7150 0.9844 0.6537  2 Co 1.76-1.94
5 O 0.2909 0.0260 0.3335  3 Co 1.84-2.05
6 F 0.6778 0.8007 0.2575  3 Co 1.91-2.09
7 F 0.2036 0.7189 0.7398  3 Co 2.03-2.04
8 F 0.3143 0.2327 0.7285  3 Co 2.04-2.10
9 F 0.8180 0.4772 0.6675  3 Co 2.01-2.23
10 F 0.2057 0.9256 0.1446  2 Co 1.89-2.09
11 F 0.7646 0.2721 0.2615  3 Co 1.90-2.11
12 F 0.3118 0.8283 0.9329  3 Co 2.03-2.07
13 F 0.2081 0.1021 0.5375  3 Co 2.04-2.08
14 F 0.7065 0.5817 0.8562  3 Co 2.01-2.10
15 F 0.6875 0.1736 0.0750  3 Co 1.97-2.10
16 F 0.1672 0.5248 0.3350  3 Co 2.04-2.10
17 F 0.8088 0.8652 0.4614  3 Co 2.04-2.08
18 F 0.8111 0.0921 0.8572  3 Co 2.00-2.08
19 F 0.2992 0.3982 0.1497  2 Co 1.90-2.04
20 F 0.2882 0.6151 0.5472  3 Co 2.03-2.15
21 Co 0.9774 0.8061 0.6060  1 O 1.76
22 Co 0.0491 0.3980 0.8174  1 O 1.76
23 Co 0.5121 0.5089 0.0028  2 O 1.93-2.06, 4 F 2.07-2.15
24 Co 0.5432 0.2910 0.5879  2 O 1.80-1.94
25 Co 0.9971 0.9939 0.0022  2 O 1.95-2.10, 4 F 2.03-2.09
26 Co 0.9655 0.5985 0.1907  1 O 1.91, 4 F 2.04-2.11
27 Co 0.9974 0.1946 0.3969  2 O 1.93-2.00, 4 F 2.04-2.08
28 Co 0.4770 0.0970 0.2076  1 O 1.84, 5 F 1.89-1.97
29 Co 0.4744 0.7023 0.4008  2 O 2.05-2.11, 4 F 2.05-2.09
30 Co 0.5230 0.9079 0.7925  5 F 2.00-2.09, 1 O 2.00

M_tot = 8.1 μB/cell
Crystal system = triclinic
Symmetry = P1

---

Stability check: which of them is most stable? two.

---

one:
CoOF2 | PBE with a Hubbard U | relaxed

a = 5.7522 Å, b = 5.7522 Å, c = 6.0632 Å
α = 61.68°, β = 61.68°, γ = 90.00°
Last column: nearest neighbours and their distance in Å.
Positions (direct):
1 O 0.5000 0.5000 0.0000  4 F 2.93
2 O 0.2500 0.7500 0.5000  4 F 2.93
3 F 0.7734 0.1250 0.2500  2 Co 1.92
4 F 0.3750 0.2266 0.7500  2 Co 1.92
5 F 0.9766 0.6250 0.2500  2 Co 1.92
6 F 0.8750 0.0234 0.7500  2 Co 1.92
7 Co 0.7500 0.2500 0.5000  4 F 1.92
8 Co 0.0000 0.0000 0.0000  4 F 1.92

M_tot = 2.2 μB/cell
Crystal system = tetragonal
Symmetry = I-42d

---

two:
CoOF2 | PBE with a Hubbard U | relaxed

a = 3.1839 Å, b = 5.5413 Å, c = 7.0729 Å
α = 106.54°, β = 87.93°, γ = 90.02°
Last column: nearest neighbours and their distance in Å.
Positions (direct):
1 F 0.7711 0.0657 0.6938  3 Co 2.06-2.08
2 F 0.7936 0.6304 0.4125  3 Co 2.08
3 F 0.2713 0.5620 0.6907  3 Co 2.08
4 F 0.2935 0.1266 0.4094  3 Co 2.06-2.08
5 Co 0.7825 0.3430 0.5481  6 F 2.06-2.08
6 Co 0.2821 0.8494 0.5552  6 F 2.06-2.08
7 O 0.2645 0.4509 0.0355  2 O 2.13-2.14
8 O 0.7629 0.7161 0.0682  2 O 2.13-2.14

M_tot = 10.1 μB/cell
Crystal system = triclinic
Symmetry = P1

---

Stability check: which of them is most stable? two.

---

one:
Co2OF | PBE with a Hubbard U | relaxed

a = 4.7313 Å, b = 4.7313 Å, c = 5.7917 Å
α = 65.89°, β = 65.89°, γ = 90.00°
Last column: nearest neighbours and their distance in Å.
Positions (direct):
1 Co 0.1635 0.6250 0.2500  2 O 1.95, 2 F 2.16
2 Co 0.5865 0.1250 0.2500  2 O 1.95, 2 F 2.16
3 Co 0.3750 0.4135 0.7500  2 O 1.95, 2 F 2.16
4 Co 0.8750 0.8365 0.7500  2 O 1.95, 2 F 2.16
5 O 0.5000 0.5000 0.0000  4 Co 1.95
6 O 0.2500 0.7500 0.5000  4 Co 1.95
7 F 0.0000 0.0000 0.0000  4 Co 2.16
8 F 0.7500 0.2500 0.5000  4 Co 2.16

M_tot = 10.3 μB/cell
Crystal system = tetragonal
Symmetry = I-42d

---

two:
Co2OF | PBE with a Hubbard U | relaxed

a = 2.9450 Å, b = 2.9450 Å, c = 6.8260 Å
α = 77.54°, β = 77.54°, γ = 60.00°
Last column: nearest neighbours and their distance in Å.
Positions (direct):
1 Co 0.9130 0.9130 0.2611  1 O 1.73
2 Co 0.0870 0.0870 0.7389  1 O 1.73
3 F 0.5000 0.5000 0.5000  6 Co 2.32
4 O 0.0000 0.0000 0.0000  2 Co 1.73

M_tot = 5.1 μB/cell
Crystal system = trigonal
Symmetry = R-3m

---

Stability check: which of them is most stable? one.